# 1
This record from Alexandria via LeMat-Bulk describes CoNi2Rh at its PBEsol-relaxed geometry. The functional is SCAN.

Results
Relative energy among the computed polymorphs ... 0.014 eV/atom
D(E_F) ... 2.79 states/eV/cell
Space group ... I4/mmm, No. 139
ΔE_f ... 0 meV per atom

Lattice parameters (Å, degrees): 4.4009 4.4009 4.4009 132.63 132.63 69.23
With the nearest neighbours (Å) after each atom.
Positions (direct):
Co 0.0000 0.0000 0.0000  4 Rh 2.50, 8 Ni 2.53
Ni 0.2500 0.7500 0.5000  4 Ni 2.50, 4 Co 2.53, 4 Rh 2.53
Ni 0.7500 0.2500 0.5000  4 Ni 2.50, 4 Co 2.53, 4 Rh 2.53
Rh 0.5000 0.5000 0.0000  4 Co 2.50, 8 Ni 2.53

# 2
This record from Alexandria via LeMat-Bulk describes IrRu2 at its PBEsol-relaxed geometry. The functional is SCAN.

Results
Relative energy among the computed polymorphs ... 1.258 eV/atom
D(E_F) ... 3.29 states/eV/cell
Space group ... P-3m1, No. 164
ΔE_f ... 1181 meV per atom

Lattice parameters (Å, degrees): 3.4626 3.4626 4.5239 90.00 90.00 120.00
With the nearest neighbours (Å) after each atom.
Positions (direct):
Ir 0.0000 0.0000 0.0000  6 Ru 2.56
Ru 0.3333 0.6667 0.3527  3 Ru 2.40, 3 Ir 2.56
Ru 0.6667 0.3333 0.6473  3 Ru 2.40, 3 Ir 2.56